VASP calculation (PBE with a Hubbard U) on crystalline Li7Mn2Co3O12 at its relaxed geometry.

a b c (Å): 4.9924 5.0882 8.6632
angles (deg): 72.47 84.71 80.30
Last column: nearest neighbours and their distance in Å.
Atoms (fractional coordinates):
Li 0.2436 0.4191 0.0931  6 O 2.03-2.20
Li 0.7526 0.5896 0.9108  6 O 2.06-2.19
Li 0.2467 0.7498 0.7421  6 O 1.97-2.20
Li 0.2367 0.0765 0.4225  6 O 2.07-2.27
Li 0.7569 0.2452 0.2652  6 O 2.03-2.24
Li 0.7683 0.9089 0.5720  6 O 2.03-2.25
Li 0.0014 0.6548 0.3431  6 O 2.00-2.15
Mn 0.9973 0.0009 0.0014  6 O 1.92-1.96
Mn 0.4986 0.8271 0.1740  6 O 1.87-2.02
Co 0.4938 0.1767 0.8192  6 O 1.90-2.11
Co 0.0018 0.3386 0.6629  6 O 1.91-1.99
Co 0.5023 0.5008 0.4989  6 O 1.94-1.98
O 0.1362 0.0343 0.1934  2 Mn 1.92-1.95, 3 Li 2.03-2.15
O 0.6330 0.1815 0.0383  2 Mn 1.94-2.02, 1 Co 2.09
O 0.1176 0.3534 0.8740  1 Mn 1.96, 2 Co 1.99-2.02, 3 Li 2.06-2.19
O 0.1408 0.6742 0.5481  2 Co 1.91-1.94, 4 Li 1.97-2.12
O 0.6040 0.8567 0.3696  1 Mn 1.87, 1 Co 1.94, 1 Li 2.07
O 0.6406 0.5275 0.6977  3 Co 1.94-2.00, 3 Li 2.09-2.16
O 0.3583 0.8074 0.9684  2 Mn 1.94-2.01, 1 Li 2.09, 1 Co 2.11
O 0.8811 0.9841 0.7967  1 Mn 1.95, 2 Co 1.98-2.04, 2 Li 2.10-2.13
O 0.3686 0.1507 0.6251  3 Co 1.90-1.98, 1 Li 2.09
O 0.3962 0.4817 0.2928  1 Mn 1.88, 1 Co 1.94, 3 Li 2.03-2.08
O 0.8594 0.6611 0.1168  2 Mn 1.92-1.94, 3 Li 2.06-2.13
O 0.8641 0.2995 0.4738  2 Co 1.91-1.95, 4 Li 2.02-2.09

## Properties
Space-group type = No. 1
Energy above the most stable polymorph in this dataset = 8 meV/atom
Crystal system = triclinic